{"formula": "MnBiO", "functional": "GGA+U", "state": "relaxed", "cell": [[3.383, 0.000, 0.000], [-1.691, 2.930, 0.000], [0.000, 0.000, 6.874]], "species": ["Mn", "Bi", "O"], "frac_coords": [[0.000, 0.000, 0.000], [0.333, 0.667, 0.564], [0.667, 0.333, 0.045]], "dft_energy_ha_per_atom": -0.2261, "density_g_cm3": 6.8, "spacegroup": "P3m1", "n_ef_per_ev_fu": 1.48}